1.
The following is a PBE calculation of an optimized crystal structure of Li2YMg, from Alexandria.

Lattice parameters (Å, degrees): 3.582 3.590 7.182 90.00 90.00 90.00
Sites, in units of the cell vectors:
Y 0.500 0.500 0.750
Li 0.000 0.000 0.034
Mg 0.500 0.500 0.250
Li 0.000 0.000 0.466

Output
**Space group**: P4/mmm
**Calculated formation energy**: 0.05 eV per atom



2.
The following is a PBE calculation of an optimized crystal structure of CdAs3Br, from Alexandria.

Lattice parameters (Å, degrees): 5.222 5.222 5.222 90.00 90.00 90.00
Sites, in units of the cell vectors:
Br 0.500 0.500 0.500
As 0.500 0.000 0.000
As 0.000 0.000 0.500
As 0.000 0.500 0.000
Cd 0.000 0.000 0.000

Output
**Energy above the most stable polymorph in this dataset**: 0 meV/atom
**Space group**: Pm-3m
**Formation energy from raw total energies**: 0.9869 eV per atom



3.
The following is a PBE calculation of an optimized crystal structure of InCo2As, from Alexandria.

Lattice parameters (Å, degrees): 4.332 4.332 4.332 60.00 60.00 60.00
Sites, in units of the cell vectors:
As 0.000 0.000 0.000
Co 0.750 0.750 0.750
In 0.500 0.500 0.500
Co 0.250 0.250 0.250

Output
**Energy above the most stable polymorph in this dataset**: 176 meV/atom
**Space group**: Fm-3m
**Calculated formation energy**: 0.20 eV per atom



4.
The following is a PBE calculation of an optimized crystal structure of KIrCl6, from Alexandria.

Lattice parameters (Å, degrees): 6.640 6.640 11.105 86.97 86.97 84.20
Sites, in units of the cell vectors:
Cl 0.083 0.516 0.700
K 0.988 0.012 0.750
Cl 0.659 0.282 0.937
Cl 0.813 0.808 0.009
Ir 0.500 0.000 0.000
Cl 0.718 0.341 0.563
Cl 0.187 0.192 0.991
Cl 0.917 0.484 0.300
K 0.012 0.988 0.250
Cl 0.282 0.659 0.437
Cl 0.484 0.917 0.800
Ir 0.000 0.500 0.500
Cl 0.341 0.718 0.063
Cl 0.192 0.187 0.491
Cl 0.808 0.813 0.509
Cl 0.516 0.083 0.200

Output
**Energy above the most stable polymorph in this dataset**: 0 meV/atom
**Space group**: C2/c
**Formation energy from raw total energies**: -0.7698 eV per atom



5.
The following is a PBE calculation of an optimized crystal structure of Ce4Dy11Tm9, from Alexandria.

Lattice parameters (Å, degrees): 3.619 14.905 14.905 112.39 90.00 90.00
Sites, in units of the cell vectors:
Dy 0.000 0.409 0.048
Ce 0.500 0.552 0.752
Tm 0.500 0.838 0.365
Ce 0.500 0.752 0.552
Dy 0.000 0.048 0.409
Dy 0.000 0.591 0.952
Tm 0.500 0.069 0.213
Tm 0.500 0.635 0.162
Ce 0.500 0.248 0.448
Dy 0.000 0.710 0.710
Dy 0.000 0.364 0.636
Dy 0.000 0.843 0.157
Dy 0.000 0.952 0.591
Tm 0.500 0.787 0.931
Ce 0.500 0.448 0.248
Tm 0.500 0.213 0.069
Dy 0.000 0.157 0.843
Dy 0.000 0.636 0.364
Dy 0.000 0.290 0.290
Dy 0.000 0.000 0.000
Tm 0.500 0.365 0.838
Tm 0.500 0.931 0.787
Tm 0.500 0.162 0.635
Tm 0.500 0.500 0.500

Output
**Space group**: Cmmm
**Calculated formation energy**: 0.10 eV per atom



6.
The following is a PBE calculation of an optimized crystal structure of KMnPt3, from Alexandria.

Lattice parameters (Å, degrees): 4.702 4.702 4.702 90.00 90.00 90.00
Sites, in units of the cell vectors:
Pt 0.500 0.000 0.000
Pt 0.000 0.500 0.000
K 0.500 0.500 0.500
Pt 0.000 0.000 0.500
Mn 0.000 0.000 0.000

Output
**Energy above the most stable polymorph in this dataset**: 0 meV/atom
**Space group**: Pm-3m
**Calculated formation energy**: 0.60 eV per atom



7.
The following is a PBE calculation of an optimized crystal structure of Cu3HgBr, from Alexandria.

Lattice parameters (Å, degrees): 4.760 4.760 4.760 90.00 90.00 90.00
Sites, in units of the cell vectors:
Cu 0.000 0.500 0.000
Br 0.000 0.000 0.000
Cu 0.000 0.000 0.500
Hg 0.500 0.500 0.500
Cu 0.500 0.000 0.000

Output
**Energy above the most stable polymorph in this dataset**: 0 meV/atom
**Space group**: Pm-3m
**Formation energy from raw total energies**: 0.7679 eV per atom



8.
The following is a PBE calculation of an optimized crystal structure of TbPtPb, from Alexandria.

Lattice parameters (Å, degrees): 3.544 3.544 6.315 106.30 106.30 90.00
Sites, in units of the cell vectors:
Pt 0.941 0.941 0.882
Tb 0.311 0.311 0.621
Pb 0.598 0.598 0.197

Output
**Space group**: I4mm
**Calculated formation energy**: -0.65 eV per atom



9.
The following is a PBE calculation of an optimized crystal structure of Ho2ScI, from Alexandria.

Lattice parameters (Å, degrees): 3.554 3.554 11.436 81.06 81.06 60.00
Sites, in units of the cell vectors:
Sc 0.000 0.000 0.000
Ho 0.907 0.907 0.278
I 0.500 0.500 0.500
Ho 0.093 0.093 0.722

Output
**Energy above the most stable polymorph in this dataset**: 310 meV/atom
**Space group**: R-3m
**Formation energy from raw total energies**: 0.0673 eV per atom